Entry 1:
# Ac2LaAu6

A geometry-optimized Ac2LaAu6 structure (PBE, Alexandria via LeMat-Bulk).

symmetry = P6/mmm
V = 26.0 Å³/atom
spin magnetization = 0.000 μB/f.u.
DOS(E_F) = 6.25 states/eV/cell

Geometry as extended XYZ:
```
9
Lattice="8.360 0.000 0.000 -4.180 7.240 0.000 0.000 0.000 3.870" Properties=species:S:1:pos:R:3 pbc="T T T"
Ac 0.000 4.827 0.000
Ac 4.180 2.413 0.000
La 0.000 0.000 0.000
Au -1.387 2.403 1.935
Au -2.793 4.837 1.935
Au 2.775 0.000 1.935
Au 1.387 2.403 1.935
Au 5.585 0.000 1.935
Au 2.793 4.837 1.935
```

=====

Entry 2:
# Ac3La4Au4

A geometry-optimized Ac3La4Au4 structure (PBE, Alexandria via LeMat-Bulk).

symmetry = Immm
V = 31.9 Å³/atom
spin magnetization = 0.000 μB/f.u.
DOS(E_F) = 9.86 states/eV/cell

Geometry as extended XYZ:
```
11
Lattice="-2.569 4.065 8.408 2.569 -4.065 8.408 2.569 4.065 -8.408" Properties=species:S:1:pos:R:3 pbc="T T T"
Ac 0.000 0.000 0.000
Ac 2.569 0.000 6.663
Ac 0.000 4.065 1.745
La 2.569 1.761 -2.897
La 2.569 1.761 2.897
La 0.000 2.304 5.512
La 0.000 2.304 11.305
Au 0.000 0.000 3.431
Au 2.569 2.524 0.000
Au 0.000 1.541 8.408
Au 0.000 0.000 13.386
```

=====

Taking the records one at a time from the top gives E_form values of -0.820, -0.541 eV per atom.